First-principles (PBE-GGA) data for a relaxed BaAg2SnH crystal, as listed in Alexandria via LeMat-Bulk.

- size of the total moment (μB per formula unit) = 0.0
- space group = Cmcm, No. 63
- volume (Å³/f.u.) = 113
- electronic total energy (eV/cell) = -33.0
- crystal system = orthorhombic

Unit cell a=4.7174 b=6.6969 c=7.6111 alpha=90.00 beta=90.00 gamma=110.62
Closest atoms and distances in Å follow each position.
Fractional positions:
Ag: 0.1500 0.3000 0.9387  1 H 1.94
Ag: 0.8500 0.7000 0.0613  1 H 1.94
Ag: 0.1500 0.3000 0.5613  1 H 1.94
Ag: 0.8500 0.7000 0.4387  1 H 1.94
H: 0.0000 0.0000 0.0000  2 Ag 1.94
H: 0.0000 0.0000 0.5000  2 Ag 1.94
Ba: 0.5672 0.1344 0.2500  4 H 3.15, 4 Ag 3.50
Ba: 0.4328 0.8656 0.7500  4 H 3.15, 4 Ag 3.50
Sn: 0.2814 0.5628 0.2500  6 Ag 2.89
Sn: 0.7186 0.4372 0.7500  6 Ag 2.89

First-principles (PBE-GGA) data for a relaxed Ba2Ag2SnH6 crystal, as listed in Alexandria via LeMat-Bulk.

- size of the total moment (μB per formula unit) = 0.0
- space group = C2/m, No. 12
- volume (Å³/f.u.) = 190
- electronic total energy (eV/cell) = -35.4
- crystal system = monoclinic

Unit cell a=5.0799 b=6.5771 c=7.0641 alpha=116.88 beta=90.00 gamma=112.72
Closest atoms and distances in Å follow each position.
Fractional positions:
H: 0.3743 0.2167 0.8387  1 Ag 1.81
H: 0.8330 0.6659 0.6845  1 Ag 1.76
H: 0.8424 0.2167 0.8387  1 Ag 1.81
H: 0.1670 0.3341 0.3155  1 Ag 1.76
H: 0.1576 0.7833 0.1613  1 Ag 1.81
H: 0.6257 0.7833 0.1613  1 Ag 1.81
Sn: 0.5000 0.0000 0.5000  4 H 2.40
Ag: 0.9965 0.9931 0.7743  3 H 1.76-1.81
Ag: 0.0035 0.0069 0.2257  3 H 1.76-1.81
Ba: 0.7153 0.4306 0.2319  7 H 2.70-2.79
Ba: 0.2847 0.5694 0.7681  7 H 2.70-2.79

First-principles (PBE-GGA) data for a relaxed BaSr2AgH crystal, as listed in Alexandria via LeMat-Bulk.

- size of the total moment (μB per formula unit) = 0.0
- space group = P4/mmm, No. 123
- volume (Å³/f.u.) = 162
- electronic total energy (eV/cell) = -12.2
- crystal system = tetragonal

Unit cell a=5.2616 b=5.2616 c=5.8508 alpha=90.00 beta=90.00 gamma=90.00
Closest atoms and distances in Å follow each position.
Fractional positions:
Ba: 0.0000 0.0000 0.5000  2 H 2.93
Sr: 0.0000 0.5000 0.0000  2 H 2.63
Sr: 0.5000 0.0000 0.0000  2 H 2.63
Ag: 0.5000 0.5000 0.5000  4 Ba 3.72, 8 Sr 3.93
H: 0.0000 0.0000 0.0000  4 Sr 2.63, 2 Ba 2.93

First-principles (PBE-GGA) data for a relaxed BaTcAgH2 crystal, as listed in Alexandria via LeMat-Bulk.

- size of the total moment (μB per formula unit) = 3.8
- space group = P4/mmm, No. 123
- volume (Å³/f.u.) = 133
- electronic total energy (eV/cell) = -15.7
- crystal system = tetragonal

Unit cell a=4.4325 b=6.7697 c=4.4325 alpha=90.00 beta=90.00 gamma=90.00
Closest atoms and distances in Å follow each position.
Fractional positions:
H: 0.0000 0.0000 0.5000  2 Ba 2.22
H: 0.5000 0.0000 0.0000  2 Ba 2.22
Tc: 0.0000 0.5000 0.0000  4 Ag 3.13, 2 Ba 3.38
Ba: 0.0000 0.0000 0.0000  4 H 2.22
Ag: 0.5000 0.5000 0.5000  4 Tc 3.13

First-principles (PBE-GGA) data for a relaxed Ba2TlAgH crystal, as listed in Alexandria via LeMat-Bulk.

- size of the total moment (μB per formula unit) = 0.0
- space group = P4/mmm, No. 123
- volume (Å³/f.u.) = 147
- electronic total energy (eV/cell) = -13.9
- crystal system = tetragonal

Unit cell a=5.9451 b=5.9451 c=4.1622 alpha=90.00 beta=90.00 gamma=90.00
Closest atoms and distances in Å follow each position.
Fractional positions:
Ba: 0.0000 0.5000 0.0000  2 H 2.97
Ba: 0.5000 0.0000 0.0000  2 H 2.97
Tl: 0.5000 0.5000 0.5000  8 Ba 3.63
H: 0.0000 0.0000 0.0000  2 Ag 2.08
Ag: 0.0000 0.0000 0.5000  2 H 2.08

First-principles (PBE-GGA) data for a relaxed Ba2TlAg2H6 crystal, as listed in Alexandria via LeMat-Bulk.

- size of the total moment (μB per formula unit) = 0.0
- space group = C2/m, No. 12
- volume (Å³/f.u.) = 194
- electronic total energy (eV/cell) = -33.8
- crystal system = monoclinic

Unit cell a=5.4820 b=6.0216 c=7.5216 alpha=115.44 beta=90.00 gamma=117.08
Closest atoms and distances in Å follow each position.
Fractional positions:
H: 0.2159 0.4319 0.3579  1 Ag 1.81
H: 0.1903 0.8371 0.1366  1 Ag 1.79
H: 0.8097 0.1629 0.8634  1 Ag 1.79
H: 0.3532 0.1629 0.8634  1 Ag 1.79
H: 0.6468 0.8371 0.1366  1 Ag 1.79
H: 0.7841 0.5681 0.6421  1 Ag 1.81
Ag: 0.9769 0.9539 0.7796  3 H 1.79-1.81
Ag: 0.0231 0.0461 0.2204  3 H 1.79-1.81
Ba: 0.7128 0.4255 0.2231  7 H 2.68-2.98
Ba: 0.2872 0.5745 0.7769  7 H 2.68-2.98
Tl: 0.5000 0.0000 0.5000  6 H 2.70-2.74

First-principles (PBE-GGA) data for a relaxed Ba2TlAgH crystal, as listed in Alexandria via LeMat-Bulk.

- size of the total moment (μB per formula unit) = 0.0
- space group = P4/mmm, No. 123
- volume (Å³/f.u.) = 150
- electronic total energy (eV/cell) = -13.5
- crystal system = tetragonal

Unit cell a=5.6851 b=5.6851 c=4.6535 alpha=90.00 beta=90.00 gamma=90.00
Closest atoms and distances in Å follow each position.
Fractional positions:
Tl: 0.0000 0.0000 0.5000  2 H 2.33
H: 0.0000 0.0000 0.0000  2 Tl 2.33
Ag: 0.5000 0.5000 0.5000  8 Ba 3.67, 4 Tl 4.02
Ba: 0.0000 0.5000 0.0000  2 H 2.84
Ba: 0.5000 0.0000 0.0000  2 H 2.84

First-principles (PBE-GGA) data for a relaxed Ba2TlAgH6 crystal, as listed in Alexandria via LeMat-Bulk.

- size of the total moment (μB per formula unit) = 0.0
- space group = C2/m, No. 12
- volume (Å³/f.u.) = 165
- electronic total energy (eV/cell) = -30.6
- crystal system = monoclinic

Unit cell a=5.6966 b=6.7273 c=5.6951 alpha=65.02 beta=59.99 gamma=90.06
Closest atoms and distances in Å follow each position.
Fractional positions:
H: 0.7272 0.6812 0.5461  1 Ag 1.96
H: 0.2728 0.3189 0.4538  1 Ag 1.96
H: 0.7270 0.6807 0.0469  1 Ag 1.96
H: 0.2730 0.3195 0.9530  1 Ag 1.96
H: 0.7725 0.3185 0.9537  1 Ag 1.96
H: 0.2276 0.6817 0.0462  1 Ag 1.96
Tl: 0.9999 0.9997 0.0002  6 H 2.49
Ag: 0.5000 0.4999 0.0001  6 H 1.96
Ba: 0.2368 0.7092 0.5268  9 H 2.82-2.86
Ba: 0.7631 0.2906 0.4734  9 H 2.82-2.86

First-principles (PBE-GGA) data for a relaxed BaY2AgH crystal, as listed in Alexandria via LeMat-Bulk.

- size of the total moment (μB per formula unit) = 0.0
- space group = P4/mmm, No. 123
- volume (Å³/f.u.) = 208
- electronic total energy (eV/cell) = -12.7
- crystal system = tetragonal

Unit cell a=6.0865 b=5.6093 c=6.0865 alpha=90.00 beta=90.00 gamma=90.00
Closest atoms and distances in Å follow each position.
Fractional positions:
H: 0.5000 0.5000 0.5000  8 Y 4.14, 4 Ag 4.30
Ag: 0.0000 0.5000 0.0000  2 Ba 2.80
Ba: 0.0000 0.0000 0.0000  2 Ag 2.80, 4 Y 3.04
Y: 0.0000 0.0000 0.5000  2 Ba 3.04
Y: 0.5000 0.0000 0.0000  2 Ba 3.04

First-principles (PBE-GGA) data for a relaxed Ba2HfAg crystal, as listed in Alexandria via LeMat-Bulk.

- size of the total moment (μB per formula unit) = 0.0
- space group = Fm-3m, No. 225
- volume (Å³/f.u.) = 140
- electronic total energy (eV/cell) = -14.1
- crystal system = cubic

Unit cell a=5.8301 b=5.8301 c=5.8301 alpha=60.00 beta=60.00 gamma=60.00
Closest atoms and distances in Å follow each position.
Fractional positions:
Ag: 0.0000 0.0000 0.0000  8 Ba 3.57
Ba: 0.2500 0.2500 0.2500  4 Hf 3.57, 4 Ag 3.57
Ba: 0.7500 0.7500 0.7500  4 Hf 3.57, 4 Ag 3.57
Hf: 0.5000 0.5000 0.5000  8 Ba 3.57

First-principles (PBE-GGA) data for a relaxed Ba2HfAg crystal, as listed in Alexandria via LeMat-Bulk.

- size of the total moment (μB per formula unit) = 1.0
- space group = I-42d, No. 122
- volume (Å³/f.u.) = 143
- electronic total energy (eV/cell) = -27.5
- crystal system = tetragonal

Unit cell a=9.2389 b=9.2389 c=7.3441 alpha=51.02 beta=51.02 gamma=90.00
Closest atoms and distances in Å follow each position.
Fractional positions:
Ba: 0.3750 0.4081 0.7500  2 Ag 3.17, 2 Ba 3.41
Ba: 0.5919 0.1250 0.2500  2 Ag 3.17, 2 Ba 3.41
Ba: 0.8750 0.8419 0.7500  2 Ag 3.17, 2 Ba 3.41
Ba: 0.1581 0.6250 0.2500  2 Ag 3.17, 2 Ba 3.41
Hf: 0.7500 0.2500 0.5000  2 Ag 3.36, 4 Ba 3.59
Hf: 0.0000 0.0000 0.0000  2 Ag 3.36, 4 Ba 3.59
Ag: 0.5000 0.5000 0.0000  4 Ba 3.17, 2 Hf 3.36
Ag: 0.2500 0.7500 0.5000  4 Ba 3.17, 2 Hf 3.36

First-principles (PBE-GGA) data for a relaxed Ba3HfAg2O6 crystal, as listed in Alexandria via LeMat-Bulk.

- size of the total moment (μB per formula unit) = 0.0
- space group = P-3m1, No. 164
- volume (Å³/f.u.) = 226
- formation energy from raw total energies (kJ per mole of atoms) = -199
- crystal system = trigonal

Unit cell a=6.1833 b=6.1833 c=6.8218 alpha=90.00 beta=90.00 gamma=120.00
Closest atoms and distances in Å follow each position.
Fractional positions:
O: 0.8425 0.6851 0.6803  1 Hf 2.09, 1 Ag 2.25
O: 0.6851 0.8425 0.3197  1 Hf 2.09, 1 Ag 2.25
O: 0.8425 0.1575 0.6803  1 Hf 2.09, 1 Ag 2.25
O: 0.1575 0.3149 0.3197  1 Hf 2.09, 1 Ag 2.25
O: 0.3149 0.1575 0.6803  1 Hf 2.09, 1 Ag 2.25
O: 0.1575 0.8425 0.3197  1 Hf 2.09, 1 Ag 2.25
Ba: 0.6667 0.3333 0.3796  3 O 2.78
Ba: 0.0000 0.0000 0.0000  6 O 2.76
Ba: 0.3333 0.6667 0.6204  3 O 2.78
Hf: 0.0000 0.0000 0.5000  6 O 2.09
Ag: 0.3333 0.6667 0.1385  3 O 2.25
Ag: 0.6667 0.3333 0.8615  3 O 2.25